Nd6Sm2DyY | PBE | optimized geometry

For the energy relative to the elements, the calculation gives 0.112 eV/atom. The calculation puts the magnetic moment at 0.00 μB per cell. Its density of states at the Fermi level is 14.368 states/eV/f.u. As for the final energy: -4.799 eV/atom.

Cell lengths 9.7848, 9.0159, 9.0159 Å; angles 118.34, 94.06, 94.06 degrees
Last column: nearest neighbours and their distance in Å.
Atoms (fractional coordinates):
Nd 0.0540 0.1220 0.7574  7 Nd 3.46-3.84, 1 Sm 3.51, 1 Y 3.72
Nd 0.4460 0.2426 0.8780  7 Nd 3.46-3.84, 1 Sm 3.51, 1 Y 3.72
Nd 0.9460 0.8780 0.2426  7 Nd 3.46-3.84, 1 Sm 3.51, 1 Y 3.72
Nd 0.5540 0.7574 0.1220  7 Nd 3.46-3.84, 1 Sm 3.51, 1 Y 3.72
Nd 0.3112 0.9850 0.4304  4 Nd 3.32-3.71, 1 Sm 3.48, 1 Dy 3.51, 1 Y 3.64
Nd 0.1888 0.5696 0.0150  4 Nd 3.32-3.71, 1 Sm 3.48, 1 Dy 3.51, 1 Y 3.64
Nd 0.6888 0.0150 0.5696  4 Nd 3.32-3.71, 1 Sm 3.48, 1 Dy 3.51, 1 Y 3.64
Nd 0.8112 0.4304 0.9850  4 Nd 3.32-3.71, 1 Sm 3.48, 1 Dy 3.51, 1 Y 3.64
Nd 0.1187 0.7095 0.4982  3 Sm 3.30-3.50, 4 Nd 3.32-3.69, 2 Dy 3.48-3.61
Nd 0.3813 0.5018 0.2905  3 Sm 3.30-3.50, 4 Nd 3.32-3.69, 2 Dy 3.48-3.61
Nd 0.8813 0.2905 0.5018  3 Sm 3.30-3.50, 4 Nd 3.32-3.69, 2 Dy 3.48-3.61
Nd 0.6187 0.4982 0.7095  3 Sm 3.30-3.50, 4 Nd 3.32-3.69, 2 Dy 3.48-3.61
Sm 0.4565 0.8030 0.7002  5 Nd 3.30-3.51, 2 Y 3.45-3.46, 1 Dy 3.61
Sm 0.0435 0.2998 0.1970  5 Nd 3.30-3.51, 2 Y 3.45-3.46, 1 Dy 3.61
Sm 0.5435 0.1970 0.2998  5 Nd 3.30-3.51, 2 Y 3.45-3.46, 1 Dy 3.61
Sm 0.9565 0.7002 0.8030  5 Nd 3.30-3.51, 2 Y 3.45-3.46, 1 Dy 3.61
Dy 0.2500 0.4095 0.5905  6 Nd 3.48-3.61, 2 Sm 3.61
Dy 0.7500 0.5905 0.4095  6 Nd 3.48-3.61, 2 Sm 3.61
Y 0.2500 0.9767 0.0233  4 Sm 3.45-3.46, 4 Nd 3.64-3.72
Y 0.7500 0.0233 0.9767  4 Sm 3.45-3.46, 4 Nd 3.64-3.72